*P*
Density functional theory data (PBE-GGA) for a geometry-optimized La2Pt2Cl structure.

Computed properties:
* SG: P4/mbm, No. 127
* magnetic moment: 0.00 μB per formula unit
* V: 25.553 Å³/atom

a b c (Å): 8.1230 8.1230 3.8726
angles (deg): 90.00 90.00 90.00
Atoms (fractional coordinates):
La  0.1772  0.3228  0.0000
La  0.8228  0.6772  0.0000
La  0.3228  0.8228  0.0000
La  0.6772  0.1772  0.0000
Cl  0.0000  0.0000  0.0000
Cl  0.5000  0.5000  0.0000
Pt  0.6218  0.8782  0.5000
Pt  0.8782  0.3782  0.5000
Pt  0.3782  0.1218  0.5000
Pt  0.1218  0.6218  0.5000

*Q*
Density functional theory data (PBE-GGA) for a geometry-optimized La2Pt2Cl structure.

Computed properties:
* SG: I4/mmm, No. 139
* magnetic moment: 0.00 μB per formula unit
* V: 28.546 Å³/atom

a b c (Å): 5.3271 5.3271 6.2839
angles (deg): 64.92 64.92 90.00
Atoms (fractional coordinates):
Pt  0.3699  0.3699  0.2603
Pt  0.6301  0.6301  0.7397
La  0.7500  0.2500  0.5000
La  0.2500  0.7500  0.5000
Cl  0.0000  0.0000  0.0000

Top of the stability list: *P*, leading by 294 meV/atom.

*P*
Density functional theory data (PBE-GGA) for a geometry-optimized LaPtSCl2 structure.

Computed properties:
* SG: P4/mmm, No. 123
* magnetic moment: 1.06 μB per formula unit
* V: 33.576 Å³/atom

a b c (Å): 5.4207 5.4207 5.7133
angles (deg): 90.00 90.00 90.00
Atoms (fractional coordinates):
S  0.0000  0.0000  0.5000
Pt  0.5000  0.5000  0.5000
Cl  0.0000  0.5000  0.0000
Cl  0.5000  0.0000  0.0000
La  0.0000  0.0000  0.0000

*Q*
Density functional theory data (PBE-GGA) for a geometry-optimized LaPtSCl2 structure.

Computed properties:
* SG: P4/mmm, No. 123
* magnetic moment: 0.25 μB per formula unit
* V: 23.116 Å³/atom

a b c (Å): 4.8190 4.8190 4.9772
angles (deg): 90.00 90.00 90.00
Atoms (fractional coordinates):
Cl  0.0000  0.5000  0.0000
Cl  0.5000  0.0000  0.0000
Pt  0.0000  0.0000  0.0000
S  0.0000  0.0000  0.5000
La  0.5000  0.5000  0.5000

Top of the stability list: *Q*, leading by 404 meV/atom.